Pr3Ge5S12: optimized geometry, PBE-GGA.

```
80
Lattice="13.4880 0.0000 0.0000 -4.4960 12.7166 0.0000 -4.4960 -6.3583 11.0129" Properties=species:S:1:pos:R:3 pbc="T T T"
Pr 7.8680 3.9739 1.3766
Pr 7.8680 8.7427 1.3766
Pr -1.1240 5.5635 6.8831
Pr 1.1240 -0.7948 4.1298
Pr 10.1160 0.0000 2.7532
Pr 1.1240 6.3583 2.7532
Pr 3.3720 0.0000 8.2597
Pr -5.6200 6.3583 8.2597
Pr 3.3720 7.1531 6.8831
Pr 5.6200 0.7948 4.1298
Pr -3.3720 -2.3844 9.6363
Pr -3.3720 2.3844 9.6363
Ge -1.1240 3.1791 2.7532
Ge -2.2480 6.3583 0.0000
Ge 0.0000 0.0000 0.0000
Ge 3.3720 2.3844 1.3766
Ge 4.4960 -3.1791 5.5064
Ge 4.4960 6.3583 0.0000
Ge -3.3720 7.1531 4.1298
Ge 5.6200 -3.9739 9.6363
Ge 5.6200 5.5635 4.1298
Ge 1.1240 -3.1791 8.2597
Ge 3.3720 9.5374 2.7532
Ge 2.2480 3.1791 5.5064
Ge 6.7440 0.0000 0.0000
Ge -2.2480 -3.1791 5.5064
Ge -1.1240 0.7948 6.8831
Ge -1.1240 10.3322 1.3766
Ge -4.4960 3.1791 5.5064
Ge 7.8680 -0.7948 6.8831
Ge 1.1240 3.9739 9.6363
Ge 5.6200 3.1791 8.2597
S 8.9528 1.4106 0.3276
S 0.0392 4.1681 4.4486
S 10.1258 2.9503 3.1320
S 5.6102 1.9419 1.3854
S 1.6543 4.7392 7.5533
S 9.5713 6.3980 2.0469
S -1.1338 7.3667 4.5174
S -3.3622 10.7747 1.3854
S 0.5937 7.9774 7.5533
S 6.1647 6.3186 2.0469
S 6.7832 3.6008 4.1210
S 6.7832 11.3060 0.3276
S -3.9023 5.7318 5.8340
S 2.8273 4.5658 0.9891
S -4.5352 9.1158 4.1210
S 2.2872 -2.1901 6.5643
S -0.5937 0.9927 2.3745
S 2.8273 8.1111 1.0578
S 5.6102 9.7663 3.1320
S -0.5793 4.6055 1.0578
S -2.8417 7.3509 8.6384
S 3.3818 5.3499 4.5174
S 6.1503 6.9848 5.8340
S 5.0753 -1.7925 10.0238
S 1.1142 1.0084 6.4955
S -1.6543 -0.6265 5.1789
S -0.5793 8.1508 0.9891
S -1.1142 -3.4080 7.8809
S 7.3377 -0.9927 2.3745
S 5.0753 1.7528 9.9550
S 1.6687 -1.7528 9.9550
S 2.2088 8.5484 4.4486
S 5.0897 5.3656 8.6384
S 9.0312 -2.7575 6.8919
S 8.3983 0.6265 5.1789
S -2.2872 -4.9477 10.6853
S 1.6687 1.7925 10.0238
S 3.9023 -1.6191 3.4595
S -1.6687 0.0397 8.9660
S -2.2872 2.7575 6.8919
S 7.8582 -4.4164 9.6275
S 5.6298 -1.0084 6.4955
S -1.1142 4.4164 9.6275
S -5.0753 -0.0397 8.9660
S 2.8417 1.6191 3.4595
S -5.6298 3.4080 7.8809
S 4.4568 2.1901 6.5643
S -4.4568 4.9477 10.6853
```

Summary:
Space-group type: Ia-3d (230)
Crystal system: cubic
E_form (uncorrected), eV per atom: -0.92

***

NiI: optimized geometry, PBE-GGA.

```
8
Lattice="5.4488 0.0000 0.0000 0.0000 5.4488 0.0000 0.0000 0.0000 5.4488" Properties=species:S:1:pos:R:3 pbc="T T T"
Ni 0.0000 0.0000 0.0000
Ni 0.0000 2.7244 2.7244
Ni 2.7244 0.0000 2.7244
Ni 2.7244 2.7244 0.0000
I 2.7244 2.7244 2.7244
I 2.7244 0.0000 0.0000
I 0.0000 2.7244 0.0000
I 0.0000 0.0000 2.7244
```

Summary:
Space-group type: Fm-3m (225)
Crystal system: cubic
E_form (uncorrected), eV per atom: 0.29

***

Mg2MoIr: optimized geometry, PBE-GGA.

```
4
Lattice="-2.5690 0.5000 8.9284 -0.7610 -1.7339 9.1094 0.2557 0.9565 9.2513" Properties=species:S:1:pos:R:3 pbc="T T T"
Ir -2.3057 -0.2080 20.4668
Mg -0.0139 -0.0013 0.1235
Mg -1.5232 -0.1374 13.5210
Mo -0.7686 -0.0693 6.8223
```

Summary:
Space-group type: R-3m (166)
Crystal system: trigonal
Energy relative to the lowest polymorph listed for this composition, meV per atom: 265
DFT formation energy, meV/atom: 148

***

Tm3Al2In: optimized geometry, PBE-GGA.

```
6
Lattice="-2.6684 1.5886 -1.6306 1.4364 -0.7742 -3.1048 -5.7686 -9.8961 -0.2012" Properties=species:S:1:pos:R:3 pbc="T T T"
Tm 0.0000 0.0000 0.0000
Tm -3.9216 -6.7277 -0.1368
Tm -1.8469 -3.1684 -0.0644
Al -5.4569 -7.8974 -2.5366
Al -1.5437 -1.1842 -2.4001
In -3.5003 -4.5408 -2.4683
```

Summary:
Space-group type: P4/mmm (123)
Crystal system: tetragonal
DFT formation energy, meV/atom: -396

***

Pm6In2Pd: optimized geometry, PBE-GGA.

```
9
Lattice="-2.8349 -2.5604 -0.4838 4.4800 -3.6694 -6.8313 1.2945 -3.0084 8.3350" Properties=species:S:1:pos:R:3 pbc="T T T"
Pm 1.2789 -3.4887 -4.3535
Pm 0.8823 -3.9398 0.3572
Pm 3.8413 -6.7597 -2.0577
Pm 1.1207 -0.9180 -1.7089
Pm 4.3294 -5.0066 1.1266
Pm 0.3245 -0.7534 2.0858
In 2.3566 -3.2292 3.2802
In 3.4177 -3.4485 -1.7763
Pd 3.0622 -4.9494 -7.0728
```

Summary:
Space-group type: P-62m (189)
Crystal system: hexagonal
DFT formation energy, meV/atom: -399

***

AcCe2Ag2Pb2: optimized geometry, PBE-GGA.

```
7
Lattice="-4.9095 0.3967 0.0716 -2.7068 -2.2982 -3.4143 -3.0736 -8.2567 4.4407" Properties=species:S:1:pos:R:3 pbc="T T T"
Ac 0.0000 0.0000 0.0000
Ce -2.8407 -4.9376 2.0220
Ce -7.8492 -5.2206 -0.9240
Ag -5.2448 -3.6511 -0.4916
Ag -5.4452 -6.5071 1.5896
Pb -8.0384 -7.9167 1.0407
Pb -2.6516 -2.2415 0.0573
```

Summary:
Space-group type: R-3m (166)
Crystal system: trigonal
DFT formation energy, meV/atom: -275

***

HgAsRuBr2: optimized geometry, PBE-GGA.

```
5
Lattice="5.2640 0.0000 0.0000 0.0000 5.2640 0.0000 0.0000 0.0000 4.6923" Properties=species:S:1:pos:R:3 pbc="T T T"
Ru 0.0000 0.0000 0.0000
As 0.0000 0.0000 2.3461
Hg 2.6320 2.6320 2.3461
Br 0.0000 2.6320 0.0000
Br 2.6320 0.0000 0.0000
```

Summary:
Space-group type: P4/mmm (123)
Crystal system: tetragonal
Energy relative to the lowest polymorph listed for this composition, meV per atom: 0
E_form (uncorrected), eV per atom: 0.22

***

Nb4VMo: optimized geometry, PBE-GGA.

```
6
Lattice="-3.1263 1.0226 -3.1676 -0.3711 -3.8650 2.4102 0.4317 5.5767 4.6659" Properties=species:S:1:pos:R:3 pbc="T T T"
Nb -0.9176 2.1097 3.2326
Nb -2.1480 0.6246 0.6758
Nb -0.1637 4.8212 3.3638
Nb -2.9019 -2.0869 0.5446
V -1.3473 3.2997 0.7491
Mo -0.1855 -1.9325 1.2051
```

Summary:
Space-group type: P-3m1 (164)
Crystal system: trigonal
Energy relative to the lowest polymorph listed for this composition, meV per atom: 0
DFT formation energy, meV/atom: -13

***

SrYCo2: optimized geometry, PBE-GGA.

```
4
Lattice="-4.8166 -0.0356 0.3405 -2.4049 -4.1817 -0.2169 -2.1276 -1.7696 3.9571" Properties=species:S:1:pos:R:3 pbc="T T T"
Co 0.0000 0.0000 0.0000
Co -2.3373 -1.4967 1.0202
Sr -4.6746 -2.9935 2.0403
Y -7.0118 -4.4902 3.0605
```

Summary:
Space-group type: F-43m (216)
Crystal system: cubic
Energy relative to the lowest polymorph listed for this composition, meV per atom: 683
DFT formation energy, meV/atom: 656

***

InMoH3: optimized geometry, PBE-GGA.

```
5
Lattice="3.6320 0.0000 0.0000 0.0000 3.6320 0.0000 0.0000 0.0000 3.6320" Properties=species:S:1:pos:R:3 pbc="T T T"
H 0.0000 1.8160 0.0000
H 0.0000 0.0000 1.8160
H 1.8160 0.0000 0.0000
Mo 0.0000 0.0000 0.0000
In 1.8160 1.8160 1.8160
```

Summary:
Space-group type: Pm-3m (221)
Crystal system: cubic
Energy relative to the lowest polymorph listed for this composition, meV per atom: 0

***

Zr2AgSb: optimized geometry, PBE-GGA.

```
4
Lattice="10.0842 -0.0069 -0.0040 9.5492 3.2410 -0.0040 9.5492 1.5730 2.8337" Properties=species:S:1:pos:R:3 pbc="T T T"
Ag 14.4968 2.3880 1.4037
Sb 7.3289 1.2073 0.7096
Zr 0.0331 0.0054 0.0032
Zr 21.9153 3.6101 2.1220
```

Summary:
Space-group type: R3m (160)
Crystal system: trigonal
E_form (uncorrected), eV per atom: -0.05

***

LiScSe: optimized geometry, PBE-GGA.

```
3
Lattice="3.7232 0.0000 0.0000 -1.8616 3.2244 0.0000 0.0000 0.0000 5.7284" Properties=species:S:1:pos:R:3 pbc="T T T"
Li 0.0000 0.0000 5.3099
Sc 1.8616 1.0748 2.2872
Se 0.0000 2.1496 3.8597
```

Summary:
Space-group type: P3m1 (156)
Crystal system: trigonal
Energy relative to the lowest polymorph listed for this composition, meV per atom: 109
E_form (uncorrected), eV per atom: -0.84